{"formula": "EuMgIn2", "functional": "PBE", "state": "relaxed", "lattice": [[3.731, 0.000, 0.000], [0.000, 3.731, 0.000], [0.000, 0.000, 7.648]], "species": ["Eu", "Mg", "In", "In"], "frac_coords": [[0.000, 0.000, 0.000], [0.000, 0.000, 0.500], [0.500, 0.500, 0.287], [0.500, 0.500, 0.713]], "delta_e_f_kj_per_mol_atoms": -31, "space_group": "P4/mmm (123)", "polymorph_energy_ev_per_atom": 0.032}